1.
Entry from the Alexandria database: an optimized crystal structure of Al2SbIr (GGA-PBE).

Structure (POSCAR):
```
Al2SbIr
1.0
-2.943 2.943 5.930
2.943 -2.943 5.930
2.943 2.943 -5.930
Al Sb Ir
4 2 2
direct
0.080 0.625 0.955
0.375 0.330 0.455
0.670 0.125 0.045
0.875 0.920 0.545
0.250 0.750 0.500
0.500 0.500 0.000
0.000 0.000 0.000
0.750 0.250 0.500
```

Computed properties:
The value obtained for the formation energy without anion corrections is 0.128 eV/atom. The space group is No. 122.

---

2.
Entry from the Alexandria database: an optimized crystal structure of NaU4Se8 (GGA-PBE).

Structure (POSCAR):
```
NaU4Se8
1.0
0.000 5.955 5.955
5.955 0.000 5.955
5.955 5.955 0.000
Na U Se
1 4 8
direct
0.000 0.000 0.000
0.377 0.377 0.377
0.377 0.377 0.869
0.377 0.869 0.377
0.869 0.377 0.377
0.137 0.137 0.137
0.137 0.137 0.589
0.137 0.589 0.137
0.153 0.616 0.616
0.589 0.137 0.137
0.616 0.153 0.616
0.616 0.616 0.153
0.616 0.616 0.616
```

Computed properties:
The value obtained for the formation energy without anion corrections is -1.142 eV/atom. The space group is No. 216. The relative energy among the computed polymorphs is 16 meV per atom.

---

3.
Entry from the Alexandria database: an optimized crystal structure of AcUSi2Pt5 (GGA-PBE).

Structure (POSCAR):
```
AcUSi2Pt5
1.0
4.345 0.000 0.000
0.000 4.345 0.000
0.000 0.000 10.456
Ac U Si Pt
1 1 2 5
direct
0.000 0.000 0.000
0.000 0.000 0.500
0.500 0.500 0.225
0.500 0.500 0.775
0.000 0.500 0.321
0.000 0.500 0.679
0.500 0.000 0.321
0.500 0.000 0.679
0.500 0.500 0.000
```

Computed properties:
The value obtained for the formation energy without anion corrections is -0.771 eV/atom. The space group is No. 123.

---

4.
Entry from the Alexandria database: an optimized crystal structure of Nd2LuAl (GGA-PBE).

Structure (POSCAR):
```
Nd2LuAl
1.0
4.827 0.000 0.000
0.000 4.827 0.000
0.000 0.000 4.850
Nd Lu Al
2 1 1
direct
0.000 0.500 0.000
0.500 0.000 0.000
0.000 0.000 0.500
0.500 0.500 0.500
```

Computed properties:
The space group is No. 123. The relative energy among the computed polymorphs is 0 meV per atom. Its energy of formation from the pure elements is -63.8 kJ/mol of formula units.

---

5.
Entry from the Alexandria database: an optimized crystal structure of K2CeI7 (GGA-PBE).

Structure (POSCAR):
```
K2CeI7
1.0
9.169 -4.332 0.000
9.169 4.332 0.000
-9.038 0.000 11.672
K Ce I
4 2 14
direct
0.052 0.642 0.919
0.358 0.948 0.581
0.642 0.052 0.419
0.948 0.358 0.081
0.197 0.803 0.750
0.803 0.197 0.250
0.119 0.729 0.500
0.152 0.226 0.330
0.171 0.829 0.250
0.226 0.152 0.830
0.271 0.881 0.000
0.338 0.411 0.717
0.411 0.338 0.217
0.589 0.662 0.783
0.662 0.589 0.283
0.729 0.119 0.000
0.774 0.848 0.170
0.829 0.171 0.750
0.848 0.774 0.670
0.881 0.271 0.500
```

Computed properties:
The value obtained for the formation energy without anion corrections is -1.091 eV/atom. The space group is No. 15.

---

6.
Entry from the Alexandria database: an optimized crystal structure of SiSbC (GGA-PBE).

Structure (POSCAR):
```
SiSbC
1.0
3.063 0.000 0.000
-1.516 3.740 0.000
-0.026 -1.463 10.739
Si Sb C
2 2 2
direct
0.179 0.359 0.406
0.821 0.641 0.594
0.162 0.327 0.163
0.838 0.673 0.837
0.406 0.813 0.517
0.594 0.187 0.483
```

Computed properties:
The value obtained for the formation energy without anion corrections is 0.332 eV/atom. The space group is No. 2. The relative energy among the computed polymorphs is 272 meV per atom.